Record 1
Computed, not measured: Mn2NbInHg after structural relaxation at the PBE level of DFT.

Cell lengths 4.9560, 5.1620, 4.9560 Å; angles 90.00, 90.00, 90.00 degrees
Sites, in units of the cell vectors:
Hg1 0.0000 0.5000 0.0000
Nb1 0.5000 0.5000 0.5000
Mn1 0.5000 0.0000 0.0000
Mn2 0.0000 0.0000 0.5000
In1 0.0000 0.0000 0.0000

Values from the calculation:
spin magnetization	4.77	μB per formula unit
DOS at the Fermi energy	0.903	states/eV per atom
crystal system	tetragonal
symmetry	P4/mmm, No. 123
energy	-4.82	eV per atom
energy of formation	1.47	eV/atom



Record 2
Computed, not measured: RbMnInHg2 after structural relaxation at the PBE level of DFT.

Cell lengths 5.7657, 5.3592, 5.7657 Å; angles 90.00, 90.00, 90.00 degrees
Sites, in units of the cell vectors:
Hg1 0.5000 0.0000 0.0000
Hg2 0.0000 0.0000 0.5000
In1 0.0000 0.0000 0.0000
Mn1 0.0000 0.5000 0.0000
Rb1 0.5000 0.5000 0.5000

Values from the calculation:
spin magnetization	4.18	μB per formula unit
DOS at the Fermi energy	0.708	states/eV per atom
crystal system	tetragonal
symmetry	P4/mmm, No. 123
energy	-2.36	eV per atom
energy of formation	0.34	eV/atom



Record 3
Computed, not measured: MnIn2HgRu after structural relaxation at the PBE level of DFT.

Cell lengths 5.0998, 5.2620, 5.0998 Å; angles 90.00, 90.00, 90.00 degrees
Sites, in units of the cell vectors:
In1 0.0000 0.0000 0.5000
In2 0.5000 0.0000 0.0000
Mn1 0.5000 0.5000 0.5000
Ru1 0.0000 0.0000 0.0000
Hg1 0.0000 0.5000 0.0000

Values from the calculation:
spin magnetization	5.27	μB per formula unit
DOS at the Fermi energy	0.649	states/eV per atom
crystal system	tetragonal
symmetry	P4/mmm, No. 123
energy	-4.19	eV per atom
energy of formation	0.66	eV/atom



Record 4
Computed, not measured: MnIn2HgSb after structural relaxation at the PBE level of DFT.

Cell lengths 5.1687, 5.1687, 4.8138 Å; angles 90.00, 90.00, 90.00 degrees
Sites, in units of the cell vectors:
In1 0.0000 0.5000 0.0000
In2 0.5000 0.0000 0.0000
Mn1 0.0000 0.0000 0.0000
Hg1 0.5000 0.5000 0.5000
Sb1 0.0000 0.0000 0.5000

Values from the calculation:
spin magnetization	0.00	μB per formula unit
DOS at the Fermi energy	0.163	states/eV per atom
crystal system	tetragonal
symmetry	P4/mmm, No. 123
energy relative to the elements, uncorrected	0.14	eV per atom
energy	-3.68	eV per atom



Record 5
Computed, not measured: MnInHgSb2 after structural relaxation at the PBE level of DFT.

Cell lengths 5.6529, 5.3927, 5.6529 Å; angles 90.00, 90.00, 90.00 degrees
Sites, in units of the cell vectors:
In1 0.0000 0.0000 0.0000
Sb1 0.0000 0.0000 0.5000
Sb2 0.5000 0.0000 0.0000
Hg1 0.0000 0.5000 0.0000
Mn1 0.5000 0.5000 0.5000

Values from the calculation:
spin magnetization	4.65	μB per formula unit
DOS at the Fermi energy	0.807	states/eV per atom
crystal system	tetragonal
symmetry	P4/mmm, No. 123
energy relative to the elements, uncorrected	0.90	eV per atom
energy	-3.19	eV per atom



Record 6
Computed, not measured: MnIn2SiHg after structural relaxation at the PBE level of DFT.

Cell lengths 5.2240, 5.1072, 5.2240 Å; angles 90.00, 90.00, 90.00 degrees
Sites, in units of the cell vectors:
Hg1 0.0000 0.5000 0.0000
In1 0.5000 0.0000 0.0000
In2 0.0000 0.0000 0.5000
Mn1 0.5000 0.5000 0.5000
Si1 0.0000 0.0000 0.0000

Values from the calculation:
spin magnetization	4.57	μB per formula unit
DOS at the Fermi energy	0.690	states/eV per atom
crystal system	tetragonal
symmetry	P4/mmm, No. 123
energy relative to the elements, uncorrected	0.73	eV per atom
energy	-3.34	eV per atom



Record 7
Computed, not measured: MnInSn2Hg after structural relaxation at the PBE level of DFT.

Cell lengths 4.9777, 4.9777, 5.1527 Å; angles 90.00, 90.00, 90.00 degrees
Sites, in units of the cell vectors:
Mn1 0.0000 0.0000 0.0000
In1 0.0000 0.0000 0.5000
Sn1 0.5000 0.0000 0.0000
Sn2 0.0000 0.5000 0.0000
Hg1 0.5000 0.5000 0.5000

Values from the calculation:
spin magnetization	0.00	μB per formula unit
DOS at the Fermi energy	0.120	states/eV per atom
crystal system	tetragonal
symmetry	P4/mmm, No. 123
energy	-3.95	eV per atom
energy of formation	0.10	eV/atom



Record 8
Computed, not measured: MnIn2SnHg after structural relaxation at the PBE level of DFT.

Cell lengths 5.1457, 5.1457, 4.9791 Å; angles 90.00, 90.00, 90.00 degrees
Sites, in units of the cell vectors:
Hg1 0.5000 0.5000 0.5000
Sn1 0.0000 0.0000 0.5000
In1 0.0000 0.5000 0.0000
In2 0.5000 0.0000 0.0000
Mn1 0.0000 0.0000 0.0000

Values from the calculation:
spin magnetization	1.00	μB per formula unit
DOS at the Fermi energy	0.695	states/eV per atom
crystal system	tetragonal
symmetry	P4/mmm, No. 123
energy	-3.62	eV per atom
energy of formation	0.17	eV/atom



Record 9
Computed, not measured: Ti2MnInHg after structural relaxation at the PBE level of DFT.

Cell lengths 4.4874, 5.0065, 4.4874 Å; angles 90.00, 90.00, 90.00 degrees
Sites, in units of the cell vectors:
Mn1 0.0000 0.0000 0.0000
Ti1 0.5000 0.0000 0.0000
Ti2 0.0000 0.0000 0.5000
In1 0.0000 0.5000 0.0000
Hg1 0.5000 0.5000 0.5000

Values from the calculation:
spin magnetization	0.00	μB per formula unit
DOS at the Fermi energy	1.028	states/eV per atom
crystal system	tetragonal
symmetry	P4/mmm, No. 123
energy	-5.28	eV per atom
energy of formation	0.32	eV/atom



Record 10
Computed, not measured: TmMnInHg after structural relaxation at the PBE level of DFT.

Cell lengths 4.9749, 4.9749, 4.9749 Å; angles 60.00, 60.00, 60.00 degrees
Sites, in units of the cell vectors:
Tm1 0.2500 0.2500 0.2500
Hg1 0.5000 0.5000 0.5000
Mn1 0.7500 0.7500 0.7500
In1 0.0000 0.0000 0.0000

Values from the calculation:
spin magnetization	3.85	μB per formula unit
DOS at the Fermi energy	0.965	states/eV per atom
crystal system	cubic
symmetry	F-43m, No. 216
energy	-4.25	eV per atom
energy of formation	-0.08	eV/atom



Record 11
Computed, not measured: MnVIn2Hg after structural relaxation at the PBE level of DFT.

Cell lengths 5.3085, 5.1405, 5.3085 Å; angles 90.00, 90.00, 90.00 degrees
Sites, in units of the cell vectors:
In1 0.0000 0.0000 0.5000
In2 0.5000 0.0000 0.0000
Hg1 0.0000 0.0000 0.0000
Mn1 0.5000 0.5000 0.5000
V1 0.0000 0.5000 0.0000

Values from the calculation:
spin magnetization	4.90	μB per formula unit
DOS at the Fermi energy	1.692	states/eV per atom
crystal system	tetragonal
symmetry	P4/mmm, No. 123
energy	-3.44	eV per atom
energy of formation	1.37	eV/atom



Record 12
Computed, not measured: InHgMo2 after structural relaxation at the PBE level of DFT.

Cell lengths 2.8490, 2.8490, 9.2707 Å; angles 90.00, 90.00, 104.01 degrees
Sites, in units of the cell vectors:
Mo1 0.0000 0.0000 0.9972
Mo2 0.0000 0.0000 0.5028
In1 0.5000 0.5000 0.7500
Hg1 0.5000 0.5000 0.2500

Values from the calculation:
spin magnetization	0.00	μB per formula unit
DOS at the Fermi energy	0.550	states/eV per atom
crystal system	orthorhombic
symmetry	Cmmm, No. 65
energy	-5.62	eV per atom
energy of formation	0.55	eV/atom



Record 13
Computed, not measured: InHgMo2 after structural relaxation at the PBE level of DFT.

Cell lengths 4.1828, 2.9982, 6.3445 Å; angles 72.07, 90.00, 90.00 degrees
Sites, in units of the cell vectors:
Mo1 0.5000 0.1990 0.2232
Mo2 0.0000 0.0391 0.0251
Hg1 0.0000 0.5245 0.4891
In1 0.5000 0.7374 0.7626

Values from the calculation:
spin magnetization	0.00	μB per formula unit
DOS at the Fermi energy	0.648	states/eV per atom
crystal system	monoclinic
symmetry	Pm, No. 6
energy	-5.73	eV per atom
energy of formation	0.44	eV/atom



Record 14
Computed, not measured: InHgMo2 after structural relaxation at the PBE level of DFT.

Cell lengths 9.7154, 9.7154, 9.7154 Å; angles 17.66, 17.66, 17.66 degrees
Sites, in units of the cell vectors:
Mo1 0.4998 0.4998 0.4998
Mo2 0.0002 0.0002 0.0002
Hg1 0.2500 0.2500 0.2500
In1 0.7500 0.7500 0.7500

Values from the calculation:
spin magnetization	0.00	μB per formula unit
DOS at the Fermi energy	1.029	states/eV per atom
crystal system	trigonal
symmetry	R-3m, No. 166
energy	-5.59	eV per atom
energy of formation	0.58	eV/atom



Record 15
Computed, not measured: InHg2Mo after structural relaxation at the PBE level of DFT.

Cell lengths 10.1669, 10.1669, 10.1669 Å; angles 17.62, 17.62, 17.62 degrees
Sites, in units of the cell vectors:
Hg1 0.7501 0.7501 0.7501
Hg2 0.9937 0.9937 0.9937
Mo1 0.2499 0.2499 0.2499
In1 0.5063 0.5063 0.5063

Values from the calculation:
spin magnetization	0.00	μB per formula unit
DOS at the Fermi energy	0.615	states/eV per atom
crystal system	trigonal
symmetry	R3m, No. 160
energy	-3.11	eV per atom
energy of formation	0.44	eV/atom



Record 16
Computed, not measured: InHgMo2 after structural relaxation at the PBE level of DFT.

Cell lengths 5.0931, 5.0931, 5.0931 Å; angles 131.61, 131.61, 70.84 degrees
Sites, in units of the cell vectors:
Mo1 0.0000 0.0000 0.0000
Mo2 0.2500 0.7500 0.5000
In1 0.7500 0.2500 0.5000
Hg1 0.5000 0.5000 0.0000

Values from the calculation:
spin magnetization	0.00	μB per formula unit
DOS at the Fermi energy	0.719	states/eV per atom
crystal system	tetragonal
symmetry	I-4m2, No. 119
energy	-5.64	eV per atom
energy of formation	0.53	eV/atom



Record 17
Computed, not measured: InHg2Mo after structural relaxation at the PBE level of DFT.

Cell lengths 7.0387, 7.0387, 4.8397 Å; angles 69.85, 69.85, 24.44 degrees
Sites, in units of the cell vectors:
Hg1 0.5585 0.5585 0.4415
Hg2 0.9415 0.9415 0.0585
In1 0.7500 0.7500 0.7500
Mo1 0.2500 0.2500 0.2500

Values from the calculation:
spin magnetization	0.81	μB per formula unit
DOS at the Fermi energy	0.703	states/eV per atom
crystal system	orthorhombic
symmetry	Immm, No. 71
energy	-3.12	eV per atom
energy of formation	0.43	eV/atom



Record 18
Computed, not measured: InHgMo2 after structural relaxation at the PBE level of DFT.

Cell lengths 2.9133, 4.4827, 5.6610 Å; angles 90.00, 90.00, 90.00 degrees
Sites, in units of the cell vectors:
Hg1 0.5000 0.5000 0.2500
Mo1 0.0000 0.0000 0.9749
Mo2 0.0000 0.0000 0.5251
In1 0.5000 0.5000 0.7500

Values from the calculation:
spin magnetization	0.00	μB per formula unit
DOS at the Fermi energy	1.070	states/eV per atom
crystal system	orthorhombic
symmetry	Pmmm, No. 47
energy	-5.60	eV per atom
energy of formation	0.57	eV/atom



Record 19
Computed, not measured: InHg2Mo after structural relaxation at the PBE level of DFT.

Cell lengths 4.9163, 3.0426, 5.4545 Å; angles 89.99, 90.00, 90.00 degrees
Sites, in units of the cell vectors:
Mo1 0.5000 0.8754 0.7019
In1 0.0000 0.3755 0.5624
Hg1 0.0000 0.8745 0.0325
Hg2 0.5000 0.3745 0.2032

Values from the calculation:
spin magnetization	0.00	μB per formula unit
DOS at the Fermi energy	0.649	states/eV per atom
crystal system	orthorhombic
symmetry	Pmm2, No. 25
energy	-3.06	eV per atom
energy of formation	0.48	eV/atom



Record 20
Computed, not measured: InHgMo2 after structural relaxation at the PBE level of DFT.

Cell lengths 2.8493, 2.8493, 8.9738 Å; angles 90.00, 90.00, 90.00 degrees
Sites, in units of the cell vectors:
Mo1 0.0000 0.0000 0.5009
Mo2 0.0000 0.0000 0.9991
Hg1 0.5000 0.5000 0.2500
In1 0.5000 0.5000 0.7500

Values from the calculation:
spin magnetization	0.00	μB per formula unit
DOS at the Fermi energy	0.810	states/eV per atom
crystal system	tetragonal
symmetry	P4/mmm, No. 123
energy	-5.59	eV per atom
energy of formation	0.58	eV/atom